No. 1
Material: RePt2Au
Method: DFT, GGA-PBE
State: optimized geometry

Cell lengths 3.965, 4.007, 4.007 Å; angles 90.00, 90.00, 90.00 degrees
Positions (direct):
Re 0.500 0.500 0.000
Au 0.500 0.000 0.500
Pt 0.000 0.000 0.000
Pt 0.000 0.500 0.500

Calculated values
- Formation energy from the elements: 0.395 eV per atom

***

No. 2
Material: RePt2Au
Method: DFT, GGA-PBE
State: optimized geometry

Cell lengths 2.809, 2.809, 8.100 Å; angles 90.00, 90.00, 90.00 degrees
Positions (direct):
Re 0.500 0.500 0.250
Pt 0.000 0.000 0.021
Pt 0.000 0.000 0.479
Au 0.500 0.500 0.750

Calculated values
- Formation energy from the elements: -0.094 eV per atom

***

No. 3
Material: RePt6Au
Method: DFT, GGA-PBE
State: optimized geometry

Cell lengths 3.987, 3.987, 7.951 Å; angles 90.00, 90.00, 90.00 degrees
Positions (direct):
Pt 0.000 0.500 0.738
Pt 0.000 0.500 0.262
Pt 0.500 0.500 0.000
Pt 0.500 0.000 0.738
Pt 0.500 0.500 0.500
Pt 0.500 0.000 0.262
Au 0.000 0.000 0.000
Re 0.000 0.000 0.500

Calculated values
- Formation energy from the elements: -0.031 eV per atom

***

No. 4
Material: RePtAu
Method: DFT, GGA-PBE
State: optimized geometry

Cell lengths 6.436, 6.436, 2.810 Å; angles 77.39, 77.39, 25.22 degrees
Positions (direct):
Au 0.004 0.004 0.996
Pt 0.321 0.321 0.679
Re 0.675 0.675 0.325

Calculated values
- Formation energy from the elements: 0.157 eV per atom

***

No. 5
Material: RePt4Au
Method: DFT, GGA-PBE
State: optimized geometry

Cell lengths 5.241, 5.241, 5.241 Å; angles 60.00, 60.00, 60.00 degrees
Each line ends with the local moment (μB).
Positions (direct):
Pt 0.625 0.625 0.625  0.09
Au 0.000 0.000 0.000  0.04
Re 0.250 0.250 0.250  2.20
Pt 0.625 0.625 0.126  0.09
Pt 0.625 0.126 0.625  0.09
Pt 0.126 0.625 0.625  0.09

Calculated values
- Formation energy from the elements: 0.471 eV per atom

***

No. 6
Material: RePt2Au
Method: DFT, GGA-PBE
State: optimized geometry

Cell lengths 9.447, 9.447, 9.447 Å; angles 17.11, 17.11, 17.11 degrees
Positions (direct):
Pt 0.998 0.998 0.998
Au 0.752 0.752 0.752
Re 0.503 0.503 0.503
Pt 0.247 0.247 0.247

Calculated values
- Formation energy from the elements: 0.077 eV per atom

***

No. 7
Material: RePt4Au
Method: DFT, GGA-PBE
State: optimized geometry

Cell lengths 2.795, 3.993, 8.523 Å; angles 90.00, 90.00, 90.00 degrees
Positions (direct):
Pt 0.500 0.000 0.820
Pt 0.500 0.000 0.180
Pt 0.000 0.500 0.656
Pt 0.000 0.500 0.344
Re 0.500 0.000 0.500
Au 0.000 0.500 0.000

Calculated values
- Formation energy from the elements: -0.043 eV per atom

***

No. 8
Material: RePt2Au
Method: DFT, GGA-PBE
State: optimized geometry

Cell lengths 6.387, 6.387, 6.387 Å; angles 155.27, 139.77, 47.80 degrees
Positions (direct):
Re 0.526 0.526 0.000
Pt 0.959 0.959 0.000
Pt 0.711 0.211 0.500
Au 0.305 0.805 0.500

Calculated values
- Formation energy from the elements: 0.181 eV per atom

***

No. 9
Material: RePtAu
Method: DFT, GGA-PBE
State: optimized geometry

Cell lengths 2.823, 2.823, 6.967 Å; angles 90.00, 90.00, 120.00 degrees
Positions (direct):
Au 0.000 0.000 0.996
Re 0.333 0.667 0.657
Pt 0.667 0.333 0.348

Calculated values
- Formation energy from the elements: 0.155 eV per atom

***

No. 10
Material: RePt2Au
Method: DFT, GGA-PBE
State: optimized geometry

Cell lengths 2.809, 2.809, 8.072 Å; angles 90.00, 90.00, 90.00 degrees
Positions (direct):
Re 0.000 0.000 0.487
Pt 0.500 0.500 0.262
Pt 0.000 0.000 0.007
Au 0.500 0.500 0.743

Calculated values
- Formation energy from the elements: 0.092 eV per atom

***

No. 11
Material: RePtAu
Method: DFT, GGA-PBE
State: optimized geometry

Cell lengths 4.901, 4.901, 4.901 Å; angles 146.93, 131.34, 60.10 degrees
Positions (direct):
Re 0.672 0.672 0.000
Pt 0.326 0.326 0.000
Au 0.002 0.002 0.000

Calculated values
- Formation energy from the elements: 0.314 eV per atom

***

No. 12
Material: RePt2Au
Method: DFT, GGA-PBE
State: optimized geometry

Cell lengths 4.853, 4.853, 4.965 Å; angles 81.58, 81.58, 33.30 degrees
Positions (direct):
Re 0.497 0.497 0.521
Pt 0.756 0.756 0.730
Au 0.246 0.246 0.247
Pt 0.002 0.002 0.003

Calculated values
- Formation energy from the elements: 0.102 eV per atom

***

No. 13
Material: ReRu2PtAu
Method: DFT, GGA-PBE
State: optimized geometry

Cell lengths 4.683, 4.954, 4.683 Å; angles 90.00, 90.00, 90.00 degrees
Each line ends with the local moment (μB).
Positions (direct):
Au 0.000 0.500 0.000  0.06
Ru 0.000 0.000 0.500  -0.20
Ru 0.500 0.000 0.000  -0.02
Re 0.500 0.500 0.500  3.11
Pt 0.000 0.000 0.000  -0.01

Calculated values
- Formation energy from the elements: 2.291 eV per atom

***

No. 14
Material: YRePt2Au
Method: DFT, GGA-PBE
State: optimized geometry

Cell lengths 4.785, 5.421, 4.785 Å; angles 90.00, 90.00, 90.00 degrees
Positions (direct):
Y 0.000 0.500 0.000
Re 0.000 0.000 0.000
Pt 0.000 0.000 0.500
Au 0.500 0.500 0.500
Pt 0.500 0.000 0.000

Calculated values
- Formation energy from the elements: 0.701 eV per atom

***

No. 15
Material: Pt2RhAu
Method: DFT, GGA-PBE
State: optimized geometry

Cell lengths 4.492, 4.492, 4.492 Å; angles 60.00, 60.00, 60.00 degrees
Positions (direct):
Pt 0.000 0.000 0.000
Au 0.500 0.500 0.500
Rh 0.250 0.250 0.250
Pt 0.750 0.750 0.750

Calculated values
- Formation energy from the elements: 0.184 eV per atom

***

No. 16
Material: Pt2RhAu
Method: DFT, GGA-PBE
State: optimized geometry

Cell lengths 2.780, 2.780, 9.664 Å; angles 90.00, 90.00, 120.43 degrees
Positions (direct):
Rh 0.500 0.500 0.500
Pt 0.000 0.000 0.260
Au 0.500 0.500 0.000
Pt 0.000 0.000 0.740

Calculated values
- Formation energy from the elements: 0.101 eV per atom

***

No. 17
Material: Pt2RhAu
Method: DFT, GGA-PBE
State: optimized geometry

Cell lengths 2.778, 2.778, 9.641 Å; angles 90.00, 90.00, 120.18 degrees
Positions (direct):
Rh 0.000 0.000 0.506
Pt 0.000 0.000 0.995
Pt 0.500 0.500 0.745
Au 0.500 0.500 0.254

Calculated values
- Formation energy from the elements: 0.119 eV per atom

***

No. 18
Material: Pt2RhAu
Method: DFT, GGA-PBE
State: optimized geometry

Cell lengths 4.894, 4.894, 4.878 Å; angles 80.23, 80.23, 33.55 degrees
Each line ends with the local moment (μB).
Positions (direct):
Rh 0.750 0.750 0.750  0.85
Au 0.250 0.250 0.250  0.08
Pt 0.496 0.496 0.508  0.25
Pt 0.004 0.004 0.992  0.25

Calculated values
- Formation energy from the elements: 0.077 eV per atom

***

No. 19
Material: Pt2RhAu
Method: DFT, GGA-PBE
State: optimized geometry

Cell lengths 2.811, 4.869, 4.906 Å; angles 70.64, 90.00, 90.00 degrees
Positions (direct):
Pt 0.500 0.500 0.000
Rh 0.500 0.000 0.500
Pt 0.000 0.000 0.000
Au 0.000 0.500 0.500

Calculated values
- Formation energy from the elements: 0.090 eV per atom

***

No. 20
Material: Pt12Rh6Au
Method: DFT, GGA-PBE
State: optimized geometry

Cell lengths 8.208, 6.967, 7.738 Å; angles 97.06, 127.08, 108.88 degrees
Positions (direct):
Pt 0.080 0.364 0.282
Rh 0.338 0.276 0.894
Au 0.000 0.000 0.000
Pt 0.640 0.789 0.428
Rh 0.229 0.580 0.723
Pt 0.360 0.211 0.572
Pt 0.399 0.952 0.098
Pt 0.601 0.048 0.902
Pt 0.830 0.526 0.987
Pt 0.460 0.342 0.321
Pt 0.088 0.856 0.548
Pt 0.170 0.474 0.013
Pt 0.540 0.658 0.679
Rh 0.718 0.183 0.633
Pt 0.912 0.144 0.452
Rh 0.282 0.817 0.367
Rh 0.662 0.724 0.106
Rh 0.771 0.420 0.277
Pt 0.920 0.636 0.718

Calculated values
- Formation energy from the elements: 0.148 eV per atom